Entry 1:
This record from Alexandria describes a crystal of ZrScP2Cl relaxed with PBEsol. The functional is SCAN.

a b c (Å): 4.881 4.881 4.513
angles (deg): 90.00 90.00 90.00
Element x y z (fractional)
Zr1 0.000 0.000 0.000
Sc1 0.500 0.500 0.500
P1 0.000 0.500 0.500
P2 0.500 0.000 0.500
Cl1 0.500 0.500 0.000

Results
The value obtained for the uncorrected formation energy is -297 meV/atom. The calculation puts the total energy at -15.039 eV per atom.


Entry 2:
This record from Alexandria describes a crystal of PSeCl2 relaxed with PBEsol. The functional is SCAN.

a b c (Å): 5.050 5.050 2.948
angles (deg): 90.00 90.00 108.15
Element x y z (fractional)
P1 0.000 0.000 0.000
Se1 0.500 0.500 0.000
Cl1 0.000 0.500 0.500
Cl2 0.500 0.000 0.500

Results
The value obtained for the uncorrected formation energy is 880 meV/atom. The calculation puts the total energy at -10.728 eV per atom.


Entry 3:
This record from Alexandria describes a crystal of PSeCl2 relaxed with PBEsol. The functional is SCAN.

a b c (Å): 9.320 9.320 9.320
angles (deg): 153.99 153.99 37.11
Element x y z (fractional)
P1 0.000 0.000 0.000
P2 0.750 0.250 0.500
Se1 0.250 0.750 0.500
Se2 0.500 0.500 0.000
Cl1 0.114 0.625 0.989
Cl2 0.375 0.364 0.489
Cl3 0.636 0.125 0.011
Cl4 0.875 0.886 0.511

Results
The value obtained for the uncorrected formation energy is 544 meV/atom. The calculation puts the total energy at -11.064 eV per atom.


Entry 4:
This record from Alexandria describes a crystal of PSe2Cl relaxed with PBEsol. The functional is SCAN.

a b c (Å): 4.654 4.654 3.313
angles (deg): 90.00 90.00 90.00
Element x y z (fractional)
P1 0.000 0.000 0.000
Se1 0.000 0.500 0.500
Se2 0.500 0.000 0.500
Cl1 0.500 0.500 0.000

Results
The value obtained for the uncorrected formation energy is 886 meV/atom. The calculation puts the total energy at -13.747 eV per atom.


Entry 5:
This record from Alexandria describes a crystal of PSeCl9 relaxed with PBEsol. The functional is SCAN.

a b c (Å): 11.859 11.859 11.734
angles (deg): 119.64 119.64 60.43
Element x y z (fractional)
P1 0.026 0.974 0.500
P2 0.439 0.492 0.466
P3 0.492 0.439 0.966
P4 0.974 0.026 0.000
Se1 0.467 0.999 0.445
Se2 0.584 0.882 0.023
Se3 0.882 0.584 0.523
Se4 0.999 0.467 0.945
Cl1 0.008 0.857 0.019
Cl2 0.017 0.138 0.490
Cl3 0.030 0.720 0.666
Cl4 0.053 0.818 0.332
Cl5 0.073 0.392 0.511
Cl6 0.076 0.389 0.125
Cl7 0.138 0.017 0.990
Cl8 0.148 0.602 0.090
Cl9 0.166 0.300 0.857
Cl10 0.184 0.930 0.661
Cl11 0.281 0.536 0.512
Cl12 0.300 0.166 0.357
Cl13 0.318 0.863 0.305
Cl14 0.328 0.449 0.801
Cl15 0.389 0.076 0.625
Cl16 0.392 0.073 0.011
Cl17 0.412 0.648 0.427
Cl18 0.436 0.746 0.883
Cl19 0.449 0.328 0.301
Cl20 0.458 0.608 0.120
Cl21 0.536 0.281 0.012
Cl22 0.568 0.899 0.260
Cl23 0.602 0.148 0.590
Cl24 0.606 0.859 0.836
Cl25 0.608 0.458 0.620
Cl26 0.648 0.412 0.927
Cl27 0.665 0.801 0.554
Cl28 0.720 0.030 0.166
Cl29 0.746 0.436 0.383
Cl30 0.801 0.665 0.054
Cl31 0.818 0.053 0.832
Cl32 0.857 0.008 0.519
Cl33 0.859 0.606 0.336
Cl34 0.863 0.318 0.805
Cl35 0.899 0.568 0.760
Cl36 0.930 0.184 0.161

Results
The value obtained for the uncorrected formation energy is -567 meV/atom. The calculation puts the total energy at -9.865 eV per atom.


Entry 6:
This record from Alexandria describes a crystal of PSeCl2 relaxed with PBEsol. The functional is SCAN.

a b c (Å): 9.535 9.535 9.535
angles (deg): 18.72 18.72 18.72
Element x y z (fractional)
P1 0.000 0.000 0.000
Se1 0.500 0.500 0.500
Cl1 0.269 0.269 0.269
Cl2 0.731 0.731 0.731

Results
The value obtained for the uncorrected formation energy is 581 meV/atom. The calculation puts the total energy at -11.027 eV per atom.


Entry 7:
This record from Alexandria describes a crystal of PSe2Cl relaxed with PBEsol. The functional is SCAN.

a b c (Å): 5.947 5.947 5.947
angles (deg): 150.75 112.64 75.09
Element x y z (fractional)
P1 0.000 0.000 0.000
Se1 0.186 0.686 0.500
Se2 0.814 0.314 0.500
Cl1 0.500 0.500 0.000

Results
The value obtained for the uncorrected formation energy is 302 meV/atom. The calculation puts the total energy at -14.332 eV per atom.


Entry 8:
This record from Alexandria describes a crystal of PSeCl7 relaxed with PBEsol. The functional is SCAN.

a b c (Å): 7.438 7.881 10.130
angles (deg): 108.91 91.10 95.28
Element x y z (fractional)
P1 0.000 0.000 0.000
P2 0.497 0.212 0.600
Se1 0.321 0.455 0.080
Se2 0.789 0.635 0.619
Cl1 0.064 0.768 0.632
Cl2 0.222 0.565 0.288
Cl3 0.227 0.687 0.007
Cl4 0.266 0.079 0.486
Cl5 0.383 0.182 0.119
Cl6 0.428 0.478 0.640
Cl7 0.443 0.186 0.793
Cl8 0.600 0.571 0.119
Cl9 0.661 0.849 0.537
Cl10 0.745 0.871 0.909
Cl11 0.787 0.441 0.409
Cl12 0.879 0.424 0.720
Cl13 0.940 0.041 0.203
Cl14 0.959 0.253 0.984

Results
The value obtained for the uncorrected formation energy is -490 meV/atom. The calculation puts the total energy at -10.082 eV per atom.


Entry 9:
This record from Alexandria describes a crystal of PSe2Cl relaxed with PBEsol. The functional is SCAN.

a b c (Å): 3.636 3.726 6.302
angles (deg): 90.00 90.00 90.00
Element x y z (fractional)
P1 0.000 0.000 0.000
Se1 0.000 0.000 0.500
Se2 0.500 0.500 0.500
Cl1 0.500 0.500 0.000

Results
The value obtained for the uncorrected formation energy is 540 meV/atom. The calculation puts the total energy at -14.093 eV per atom.


Entry 10:
This record from Alexandria describes a crystal of PSeCl3 relaxed with PBEsol. The functional is SCAN.

a b c (Å): 4.772 4.772 4.772
angles (deg): 90.00 90.00 90.00
Element x y z (fractional)
P1 0.000 0.000 0.000
Se1 0.500 0.500 0.500
Cl1 0.000 0.000 0.500
Cl2 0.000 0.500 0.000
Cl3 0.500 0.000 0.000

Results
The value obtained for the uncorrected formation energy is 226 meV/atom. The calculation puts the total energy at -10.656 eV per atom.


Entry 11:
This record from Alexandria describes a crystal of P2SeCl relaxed with PBEsol. The functional is SCAN.

a b c (Å): 4.901 4.901 7.018
angles (deg): 120.73 120.73 37.87
Element x y z (fractional)
P1 0.207 0.207 0.364
P2 0.793 0.793 0.636
Se1 0.000 0.000 0.500
Cl1 0.500 0.500 0.000

Results
The value obtained for the uncorrected formation energy is 318 meV/atom. The calculation puts the total energy at -11.895 eV per atom.


Entry 12:
This record from Alexandria describes a crystal of PSe2Cl relaxed with PBEsol. The functional is SCAN.

a b c (Å): 7.506 7.506 2.539
angles (deg): 90.00 90.00 140.17
Element x y z (fractional)
P1 0.000 0.000 0.000
Se1 0.000 0.500 0.500
Se2 0.500 0.000 0.500
Cl1 0.500 0.500 0.000

Results
The value obtained for the uncorrected formation energy is 482 meV/atom. The calculation puts the total energy at -14.151 eV per atom.